No. 1
Here is ReIr2Rh after structural relaxation from Alexandria via LeMat-Bulk. Energies are from PBE-GGA.

## Properties
Its symmetry is I-42d. For the total magnetization, the calculation gives 0.0 μB per cell. The calculation puts the distance to the lowest polymorph of the same formula at 4.34 eV/f.u.

a = 6.6829 Å, b = 6.6829 Å, c = 6.6829 Å
α = 129.61°, β = 129.61°, γ = 74.03°
Last column: nearest neighbours and their distance in Å.
Element x y z (fractional)
Re (0.0000, 0.0000, 0.0000)  4 Ir 2.40
Re (0.7500, 0.2500, 0.5000)  4 Ir 2.40
Ir (0.1207, 0.6250, 0.9957)  2 Re 2.40, 2 Rh 2.43
Ir (0.3750, 0.3707, 0.4957)  2 Re 2.40, 2 Rh 2.43
Ir (0.6293, 0.1250, 0.0043)  2 Re 2.40, 2 Rh 2.43
Ir (0.8750, 0.8793, 0.5043)  2 Re 2.40, 2 Rh 2.43
Rh (0.2500, 0.7500, 0.5000)  4 Ir 2.43
Rh (0.5000, 0.5000, 0.0000)  4 Ir 2.43

No. 2
Here is Re2IrRh after structural relaxation from Alexandria via LeMat-Bulk. Energies are from PBE-GGA.

## Properties
Its symmetry is P4mm. For the total magnetization, the calculation gives 0.0 μB per cell. The calculation puts the distance to the lowest polymorph of the same formula at 1.91 eV/f.u.

a = 3.2734 Å, b = 3.2734 Å, c = 5.5725 Å
α = 90.00°, β = 90.00°, γ = 90.00°
Last column: nearest neighbours and their distance in Å.
Element x y z (fractional)
Re (0.0000, 0.0000, 0.0000)  4 Ir 2.70, 2 Rh 2.73-2.84, 4 Re 2.74
Re (0.5000, 0.5000, 0.2619)  4 Rh 2.69, 2 Ir 2.73-2.85, 4 Re 2.74
Ir (0.5000, 0.5000, 0.7509)  4 Rh 2.68, 6 Re 2.70-2.85
Rh (0.0000, 0.0000, 0.5095)  4 Ir 2.68, 6 Re 2.69-2.84

No. 3
Here is ReIrRh2 after structural relaxation from Alexandria via LeMat-Bulk. Energies are from PBE-GGA.

## Properties
Its symmetry is Amm2. For the total magnetization, the calculation gives 0.0 μB per cell. The calculation puts the distance to the lowest polymorph of the same formula at 0.00 eV/f.u.

a = 4.3688 Å, b = 5.5106 Å, c = 5.5106 Å
α = 60.08°, β = 90.00°, γ = 90.00°
Last column: nearest neighbours and their distance in Å.
Element x y z (fractional)
Re (0.0000, 0.0000, 0.0000)  8 Rh 2.69-2.76, 4 Ir 2.70
Re (0.5000, 0.3328, 0.3328)  8 Rh 2.69-2.76, 4 Ir 2.75-2.76
Ir (0.5000, 0.3311, 0.8327)  4 Re 2.70-2.76, 6 Rh 2.70-2.78, 2 Ir 2.75-2.77
Ir (0.5000, 0.8327, 0.3311)  4 Re 2.70-2.76, 6 Rh 2.70-2.78, 2 Ir 2.75-2.77
Rh (0.0000, 0.0037, 0.4997)  4 Re 2.69-2.76, 6 Rh 2.71-2.78, 2 Ir 2.72
Rh (0.0000, 0.4997, 0.0037)  4 Re 2.69-2.76, 6 Rh 2.71-2.78, 2 Ir 2.72
Rh (0.0000, 0.5003, 0.5003)  4 Ir 2.70, 4 Re 2.71-2.76, 4 Rh 2.74-2.77
Rh (0.5000, 0.8349, 0.8349)  4 Re 2.69-2.76, 4 Rh 2.71, 4 Ir 2.73-2.78

No. 4
Here is ReIr2Rh after structural relaxation from Alexandria via LeMat-Bulk. Energies are from PBE-GGA.

## Properties
Its symmetry is Pmmm. For the total magnetization, the calculation gives 0.0 μB per cell. The calculation puts the distance to the lowest polymorph of the same formula at 0.05 eV/f.u.

a = 2.7341 Å, b = 3.8801 Å, c = 5.4636 Å
α = 90.00°, β = 90.00°, γ = 90.00°
Last column: nearest neighbours and their distance in Å.
Element x y z (fractional)
Re (0.0000, 0.0000, 0.0000)  8 Ir 2.73, 2 Rh 2.73, 2 Re 2.73
Ir (0.5000, 0.5000, 0.2471)  4 Ir 2.70-2.76, 4 Re 2.73, 4 Rh 2.75
Ir (0.5000, 0.5000, 0.7529)  4 Ir 2.70-2.76, 4 Re 2.73, 4 Rh 2.75
Rh (0.0000, 0.0000, 0.5000)  2 Re 2.73, 2 Rh 2.73, 8 Ir 2.75

No. 5
Here is ReIrRh2 after structural relaxation from Alexandria via LeMat-Bulk. Energies are from PBE-GGA.

## Properties
Its symmetry is R-3m. For the total magnetization, the calculation gives 0.1 μB per cell. The calculation puts the distance to the lowest polymorph of the same formula at 0.37 eV/f.u.

a = 9.0520 Å, b = 9.0520 Å, c = 9.0520 Å
α = 17.40°, β = 17.40°, γ = 17.40°
Last column: nearest neighbours and their distance in Å.
Element x y z (fractional)
Re (0.0000, 0.0000, 0.0000)  6 Rh 2.70, 6 Re 2.74
Ir (0.5000, 0.5000, 0.5000)  6 Ir 2.74, 6 Rh 2.77
Rh (0.2516, 0.2516, 0.2516)  3 Re 2.70, 6 Rh 2.74, 3 Ir 2.77
Rh (0.7484, 0.7484, 0.7484)  3 Re 2.70, 6 Rh 2.74, 3 Ir 2.77

No. 6
Here is ReIrRuRh after structural relaxation from Alexandria via LeMat-Bulk. Energies are from PBE-GGA.

## Properties
Its symmetry is Imm2. The value obtained for the raw total energy is -9.243 eV/atom. For the total magnetization, the calculation gives 0.0 μB per cell.

a = 5.8662 Å, b = 5.8662 Å, c = 5.8662 Å
α = 153.29°, β = 136.49°, γ = 51.79°
Last column: nearest neighbours and their distance in Å.
Element x y z (fractional)
Re (0.0000, 0.0000, 0.0000)  2 Ru 2.55, 4 Rh 2.65, 2 Re 2.71, 2 Ir 2.75
Ir (0.7732, 0.2732, 0.5000)  4 Ru 2.66, 2 Ir 2.71, 2 Re 2.75, 2 Rh 2.78
Ru (0.2044, 0.7044, 0.5000)  2 Re 2.55, 4 Ir 2.66, 2 Ru 2.71, 2 Rh 2.80
Rh (0.4368, 0.4368, 0.0000)  4 Re 2.65, 2 Rh 2.71, 2 Ir 2.78, 2 Ru 2.80

No. 7
Here is Sc2ReIr3Rh6 after structural relaxation from Alexandria via LeMat-Bulk. Energies are from PBE-GGA.

## Properties
Its symmetry is P4/mmm. The value obtained for the raw total energy is -7.606 eV/atom. For the total magnetization, the calculation gives 0.0 μB per cell.

a = 3.6532 Å, b = 3.6532 Å, c = 17.1063 Å
α = 90.00°, β = 90.00°, γ = 90.00°
Last column: nearest neighbours and their distance in Å.
Element x y z (fractional)
Sc (0.0000, 0.0000, 0.2113)  4 Ir 2.85, 4 Rh 2.87
Sc (0.0000, 0.0000, 0.7887)  4 Ir 2.85, 4 Rh 2.87
Re (0.0000, 0.0000, 0.5000)  8 Rh 2.57
Ir (0.5000, 0.5000, 0.0000)  2 Rh 2.37
Ir (0.5000, 0.5000, 0.2820)  5 Rh 2.46-2.65
Ir (0.5000, 0.5000, 0.7180)  5 Rh 2.46-2.65
Rh (0.0000, 0.5000, 0.3945)  2 Re 2.57, 4 Rh 2.58, 2 Ir 2.65
Rh (0.0000, 0.5000, 0.6055)  2 Re 2.57, 4 Rh 2.58, 2 Ir 2.65
Rh (0.5000, 0.0000, 0.3945)  2 Re 2.57, 4 Rh 2.58, 2 Ir 2.65
Rh (0.5000, 0.0000, 0.6055)  2 Re 2.57, 4 Rh 2.58, 2 Ir 2.65
Rh (0.5000, 0.5000, 0.1384)  2 Ir 2.37-2.46
Rh (0.5000, 0.5000, 0.8616)  2 Ir 2.37-2.46

No. 8
Here is ReIr2RhSe after structural relaxation from Alexandria via LeMat-Bulk. Energies are from PBE-GGA.

## Properties
Its symmetry is P4/mmm. For the total magnetization, the calculation gives 0.0 μB per cell. The calculation puts the energy relative to the elements, uncorrected at 8.1 eV/f.u.

a = 4.7534 Å, b = 4.7534 Å, c = 4.7064 Å
α = 90.00°, β = 90.00°, γ = 90.00°
Last column: nearest neighbours and their distance in Å.
Element x y z (fractional)
Re (0.0000, 0.0000, 0.0000)  2 Rh 2.35, 4 Ir 2.38
Ir (0.0000, 0.5000, 0.0000)  2 Re 2.38
Ir (0.5000, 0.0000, 0.0000)  2 Re 2.38
Rh (0.0000, 0.0000, 0.5000)  2 Re 2.35
Se (0.5000, 0.5000, 0.5000)  8 Ir 3.34, 4 Rh 3.36

No. 9
Here is ReIrRu after structural relaxation from Alexandria via LeMat-Bulk. Energies are from PBE-GGA.

## Properties
Its symmetry is C2/c. For the total magnetization, the calculation gives 0.0 μB per cell. The calculation puts the distance to the lowest polymorph of the same formula at 0.36 eV/f.u.

a = 4.7436 Å, b = 4.7436 Å, c = 4.7032 Å
α = 99.39°, β = 99.39°, γ = 120.10°
Last column: nearest neighbours and their distance in Å.
Element x y z (fractional)
Re (0.0842, 0.9158, 0.7500)  5 Ru 2.70-2.75, 2 Re 2.73, 5 Ir 2.73-2.74
Re (0.9158, 0.0842, 0.2500)  5 Ru 2.70-2.75, 2 Re 2.73, 5 Ir 2.73-2.74
Ir (0.4163, 0.5837, 0.7500)  5 Ru 2.72-2.77, 2 Ir 2.72, 5 Re 2.73-2.74
Ir (0.5837, 0.4163, 0.2500)  5 Ru 2.72-2.77, 2 Ir 2.72, 5 Re 2.73-2.74
Ru (0.2465, 0.7535, 0.2500)  5 Re 2.70-2.75, 5 Ir 2.72-2.77, 2 Ru 2.74
Ru (0.7535, 0.2465, 0.7500)  5 Re 2.70-2.75, 5 Ir 2.72-2.77, 2 Ru 2.74

No. 10
Here is Re4Ir3Ru2 after structural relaxation from Alexandria via LeMat-Bulk. Energies are from PBE-GGA.

## Properties
Its symmetry is P-1. The value obtained for the raw total energy is -10.711 eV/atom. For the total magnetization, the calculation gives 0.0 μB per cell.

a = 4.7992 Å, b = 7.0440 Å, c = 8.5223 Å
α = 71.41°, β = 73.71°, γ = 90.00°
Last column: nearest neighbours and their distance in Å.
Element x y z (fractional)
Re (0.0523, 0.4682, 0.2245)  4 Re 2.67-2.79, 5 Ir 2.70-2.78, 3 Ru 2.73-2.78
Re (0.1654, 0.0788, 0.3339)  5 Ir 2.68-2.79, 6 Re 2.69-2.79, 1 Ru 2.76
Re (0.1688, 0.2513, 0.9940)  4 Ru 2.67-2.75, 5 Ir 2.68-2.81, 3 Re 2.69-2.79
Re (0.3903, 0.8020, 0.5558)  5 Re 2.67-2.79, 2 Ru 2.69-2.74, 5 Ir 2.70-2.78
Re (0.6097, 0.1980, 0.4442)  5 Re 2.67-2.79, 2 Ru 2.69-2.74, 5 Ir 2.70-2.78
Re (0.8312, 0.7487, 0.0060)  4 Ru 2.67-2.75, 5 Ir 2.68-2.81, 3 Re 2.69-2.79
Re (0.8346, 0.9212, 0.6661)  5 Ir 2.68-2.79, 6 Re 2.69-2.79, 1 Ru 2.76
Re (0.9477, 0.5318, 0.7755)  4 Re 2.67-2.79, 5 Ir 2.70-2.78, 3 Ru 2.73-2.78
Ir (0.0569, 0.3055, 0.5563)  6 Re 2.68-2.79, 4 Ru 2.71-2.77, 2 Ir 2.71
Ir (0.2762, 0.0260, 0.7794)  4 Ru 2.69-2.78, 2 Ir 2.70-2.71, 6 Re 2.72-2.78
Ir (0.3865, 0.6367, 0.8889)  8 Re 2.68-2.81, 2 Ir 2.70, 2 Ru 2.76
Ir (0.6135, 0.3633, 0.1111)  8 Re 2.68-2.81, 2 Ir 2.70, 2 Ru 2.76
Ir (0.7238, 0.9740, 0.2206)  4 Ru 2.69-2.78, 2 Ir 2.70-2.71, 6 Re 2.72-2.78
Ir (0.9431, 0.6945, 0.4437)  6 Re 2.68-2.79, 4 Ru 2.71-2.77, 2 Ir 2.71
Ru (0.2799, 0.8603, 0.1099)  5 Ir 2.69-2.78, 2 Ru 2.70, 5 Re 2.72-2.76
Ru (0.4985, 0.5845, 0.3337)  5 Re 2.67-2.78, 2 Ru 2.70-2.71, 5 Ir 2.71-2.77
Ru (0.5015, 0.4155, 0.6663)  5 Re 2.67-2.78, 2 Ru 2.70-2.71, 5 Ir 2.71-2.77
Ru (0.7201, 0.1397, 0.8901)  5 Ir 2.69-2.78, 2 Ru 2.70, 5 Re 2.72-2.76

No. 11
Here is ReIr2Ru after structural relaxation from Alexandria via LeMat-Bulk. Energies are from PBE-GGA.

## Properties
Its symmetry is Cm. The value obtained for the raw total energy is -9.938 eV/atom. For the total magnetization, the calculation gives 0.0 μB per cell.

a = 4.7333 Å, b = 4.7333 Å, c = 4.7505 Å
α = 99.36°, β = 99.36°, γ = 33.41°
Last column: nearest neighbours and their distance in Å.
Element x y z (fractional)
Re (0.0000, 0.0000, 0.0000)  7 Ir 2.71-2.75, 2 Re 2.72, 3 Ru 2.73-2.75
Ir (0.5010, 0.5010, 0.5043)  3 Ru 2.71-2.72, 4 Re 2.72-2.75, 5 Ir 2.72-2.77
Ir (0.7478, 0.7478, 0.2438)  3 Re 2.71-2.73, 5 Ir 2.72-2.77, 4 Ru 2.73-2.75
Ru (0.2509, 0.2509, 0.7468)  7 Ir 2.71-2.75, 2 Ru 2.72, 3 Re 2.73-2.75

No. 12
Here is ReIr3Ru3 after structural relaxation from Alexandria via LeMat-Bulk. Energies are from PBE-GGA.

## Properties
Its symmetry is P6_3/m. The value obtained for the raw total energy is -8.802 eV/atom. For the total magnetization, the calculation gives 0.0 μB per cell.

a = 11.3252 Å, b = 11.3252 Å, c = 2.6843 Å
α = 90.00°, β = 90.00°, γ = 120.00°
Last column: nearest neighbours and their distance in Å.
Element x y z (fractional)
Re (0.3333, 0.6667, 0.2500)  3 Ir 2.42-2.43, 2 Re 2.68
Re (0.6667, 0.3333, 0.7500)  3 Ir 2.42-2.43, 2 Re 2.68
Ir (0.1566, 0.4286, 0.2500)  1 Re 2.42, 3 Ru 2.54-2.56, 2 Ir 2.68
Ir (0.2720, 0.8434, 0.2500)  1 Re 2.42, 3 Ru 2.54-2.56, 2 Ir 2.68
Ir (0.4286, 0.2720, 0.7500)  1 Re 2.43, 3 Ru 2.54-2.56, 2 Ir 2.68
Ir (0.5714, 0.7280, 0.2500)  1 Re 2.43, 3 Ru 2.54-2.56, 2 Ir 2.68
Ir (0.7280, 0.1566, 0.7500)  1 Re 2.42, 3 Ru 2.54-2.56, 2 Ir 2.68
Ir (0.8434, 0.5714, 0.7500)  1 Re 2.42, 3 Ru 2.54-2.56, 2 Ir 2.68
Ru (0.0535, 0.6131, 0.2500)  3 Ir 2.54-2.56, 4 Ru 2.59-2.68
Ru (0.3869, 0.4404, 0.2500)  3 Ir 2.54-2.56, 4 Ru 2.59-2.68
Ru (0.4404, 0.0535, 0.7500)  3 Ir 2.54-2.56, 4 Ru 2.59-2.68
Ru (0.5596, 0.9465, 0.2500)  3 Ir 2.54-2.56, 4 Ru 2.59-2.68
Ru (0.6131, 0.5596, 0.7500)  3 Ir 2.54-2.56, 4 Ru 2.59-2.68
Ru (0.9465, 0.3869, 0.7500)  3 Ir 2.54-2.56, 4 Ru 2.59-2.68